VASP calculation (PBE) on an optimized crystal structure of KZnC2O.

E: -3.37 eV per atom
magnetic moment: 0.9 μB/f.u.
formation energy from raw total energies: 860 kJ/mol of formula units

POSCAR file:
```
KZnC2O
1.0
3.819 0.000 0.000
0.000 7.607 0.000
0.000 0.000 3.819
C O K Zn
2 1 1 1
Direct
0.500 0.000 0.000
0.000 0.000 0.500
0.500 0.500 0.500
0.000 0.500 0.000
0.000 0.000 0.000
```



VASP calculation (PBE) on an optimized crystal structure of KZrCO5.

E: -7.27 eV per atom
magnetic moment: 1.0 μB/f.u.
formation energy from raw total energies: -1400 kJ/mol of formula units

POSCAR file:
```
KZrCO5
1.0
5.710 0.097 -0.162
-1.574 5.490 -0.162
-1.925 -2.601 6.872
O C Zr K
10 2 2 2
Direct
0.715 0.158 0.367
0.230 0.428 0.627
0.770 0.572 0.373
0.285 0.842 0.633
0.929 0.071 0.750
0.572 0.770 0.873
0.428 0.230 0.127
0.158 0.715 0.867
0.842 0.285 0.133
0.071 0.929 0.250
0.307 0.693 0.750
0.693 0.307 0.250
0.000 0.000 0.500
0.000 0.000 0.000
0.338 0.662 0.250
0.662 0.338 0.750
```



VASP calculation (PBE) on an optimized crystal structure of KOsC3.

E: -3.20 eV per atom
magnetic moment: 0.5 μB/f.u.
energy relative to the elements: 24.0 eV/f.u.
excess energy over the best structure of this formula in the dataset: 3234 meV/atom

POSCAR file:
```
KOsC3
1.0
-1.859 -1.724 3.070
-2.935 -1.159 -2.428
1.945 -3.397 -0.729
C K Os
3 1 1
Direct
0.000 0.500 0.000
0.500 0.000 0.000
0.000 0.000 0.500
0.000 0.000 0.000
0.500 0.500 0.500
```



VASP calculation (PBE) on an optimized crystal structure of K2OsC.

E: -4.84 eV per atom
magnetic moment: 0.2 μB/f.u.
energy relative to the elements: 3.3 eV/f.u.

POSCAR file:
```
K2OsC
1.0
11.891 0.000 0.000
0.000 11.891 0.000
5.945 5.945 1.928
K C Os
4 2 2
Direct
0.380 0.125 0.250
0.370 0.625 0.250
0.875 0.630 0.750
0.375 0.620 0.750
0.500 0.500 0.000
0.250 0.750 0.500
0.000 0.000 0.000
0.750 0.250 0.500
```



VASP calculation (PBE) on an optimized crystal structure of K3OsC.

E: -2.78 eV per atom
magnetic moment: 5.0 μB/f.u.
energy relative to the elements: 9.8 eV/f.u.
excess energy over the best structure of this formula in the dataset: 0 meV/atom

POSCAR file:
```
K3OsC
1.0
5.659 0.000 0.000
0.000 5.659 0.000
0.000 0.000 5.659
K C Os
3 1 1
Direct
0.500 0.000 0.000
0.000 0.000 0.500
0.000 0.500 0.000
0.000 0.000 0.000
0.500 0.500 0.500
```



VASP calculation (PBE) on an optimized crystal structure of KOs2C.

E: -6.91 eV per atom
magnetic moment: 1.8 μB/f.u.
energy relative to the elements: 5.2 eV/f.u.

POSCAR file:
```
KOs2C
1.0
-4.870 3.826 0.945
0.021 -1.477 6.088
0.355 4.514 4.318
Os K C
4 2 2
Direct
0.375 0.625 0.750
0.875 0.625 0.750
0.375 0.625 0.250
0.375 0.125 0.250
0.000 0.000 0.000
0.750 0.250 0.500
0.250 0.750 0.500
0.500 0.500 0.000
```



VASP calculation (PBE) on an optimized crystal structure of KOsC3.

E: -6.43 eV per atom
magnetic moment: 0.0 μB/f.u.
energy relative to the elements: 7.9 eV/f.u.
excess energy over the best structure of this formula in the dataset: 0 meV/atom

POSCAR file:
```
KOsC3
1.0
-3.086 -2.289 1.332
2.457 -3.238 0.128
0.988 0.901 3.840
C Os K
3 1 1
Direct
0.000 0.500 0.000
0.500 0.000 0.000
0.000 0.000 0.500
0.000 0.000 0.000
0.500 0.500 0.500
```



VASP calculation (PBE) on an optimized crystal structure of KOsPbC2.

E: -3.02 eV per atom
magnetic moment: 0.3 μB/f.u.
energy relative to the elements: 19.4 eV/f.u.

POSCAR file:
```
KOsPbC2
1.0
-0.063 -4.426 0.976
1.801 0.957 4.453
-4.215 0.416 1.615
C K Pb Os
2 1 1 1
Direct
0.500 0.000 0.000
0.000 0.000 0.500
0.000 0.000 0.000
0.500 0.500 0.500
0.000 0.500 0.000
```



> What is the E in the third record?

-3.20 eV per atom